1.
VASP calculation (PBE) on a relaxed Ta2MnCu crystal.

Cell: 4.853 2.817 4.927 Å, 90.00 109.95 90.00°
Space group P2/m (No. 10)
Unique sites:
Ta (0.000, 0.000, 0.000) (multiplicity 1)
Ta (0.000, 0.500, 0.500) (multiplicity 1)
Mn (0.500, 0.000, 0.500) (multiplicity 1)
Cu (0.500, 0.500, 0.000) (multiplicity 1)

Output
**Energy relative to the elements**: 0.29 eV/atom



2.
VASP calculation (PBE) on a relaxed Li3TbGe3 crystal.

Cell: 6.626 6.626 6.626 Å, 90.00 90.00 90.00°
Space group Pm-3n (No. 223)
Unique sites:
Li (0.000, 0.250, 0.500) (multiplicity 6)
Tb (0.000, 0.000, 0.000) (multiplicity 2)
Ge (0.000, 0.500, 0.250) (multiplicity 6)

Output
**Energy relative to the elements**: 0.20 eV/atom



3.
VASP calculation (PBE) on a relaxed PaO3F crystal.

Cell: 11.085 6.241 5.455 Å, 90.00 109.08 90.00°
Space group C2/m (No. 12)
Unique sites:
Pa (0.182, 0.000, 0.005) (multiplicity 4)
O (0.052, 0.500, 0.088) (multiplicity 4)
O (0.200, 0.256, 0.763) (multiplicity 8)
F (0.041, 0.000, 0.239) (multiplicity 4)

Output
**E_form (uncorrected)**: -62.65 kcal/mol of atoms



4.
VASP calculation (PBE) on a relaxed TbPu2Ga6 crystal.

Cell: 7.8142 7.8142 3.4957 Å, 90.00 90.00 120.00°
Space group P6/mmm (No. 191)
Unique sites:
Tb (0.0000, 0.0000, 0.0000) (multiplicity 1)
Pu (0.3333, 0.6667, 0.0000) (multiplicity 2)
Ga (0.0000, 0.3325, 0.5000) (multiplicity 6)

Output
**Offset from the most stable computed form**: 0.000 eV per formula unit
**Energy relative to the elements**: -0.45 eV/atom



5.
VASP calculation (PBE) on a relaxed Hf4Sc2P3N2 crystal.

Cell: 4.209 4.209 21.197 Å, 90.00 90.00 90.00°
Space group I4/mmm (No. 139)
Unique sites:
Hf (0.000, 0.500, 0.077) (multiplicity 8)
Sc (0.000, 0.000, 0.199) (multiplicity 4)
P (0.000, 0.000, 0.325) (multiplicity 4)
P (0.000, 0.000, 0.500) (multiplicity 2)
N (0.000, 0.000, 0.101) (multiplicity 4)

Output
**E_form (uncorrected)**: -26.65 kcal/mol of atoms



6.
VASP calculation (PBE) on a relaxed CsC crystal.

Cell: 7.636 7.636 5.681 Å, 90.00 90.00 90.00°
Space group P4_2/mnm (No. 136)
Unique sites:
Cs (0.200, 0.200, 0.000) (multiplicity 4)
C (0.059, 0.059, 0.500) (multiplicity 4)

Output
**Offset from the most stable computed form**: 0.126 eV per formula unit
**Energy relative to the elements**: 0.37 eV/atom



7.
VASP calculation (PBE) on a relaxed Dy6ThIn5 crystal.

Cell: 5.025 8.717 15.128 Å, 90.00 90.00 90.00°
Space group Immm (No. 71)
Unique sites:
Dy (0.000, 0.228, 0.000) (multiplicity 4)
Dy (0.000, 0.263, 0.331) (multiplicity 8)
Th (0.000, 0.000, 0.500) (multiplicity 2)
In (0.000, 0.000, 0.177) (multiplicity 4)
In (0.000, 0.500, 0.154) (multiplicity 4)
In (0.000, 0.500, 0.500) (multiplicity 2)

Output
**Energy relative to the elements**: -0.36 eV/atom



8.
VASP calculation (PBE) on a relaxed RbTaMn3 crystal.

Cell: 5.085 5.085 5.085 Å, 90.00 90.00 90.00°
Space group Pm-3m (No. 221)
Unique sites:
Rb (0.000, 0.000, 0.000) (multiplicity 1)
Ta (0.500, 0.500, 0.500) (multiplicity 1)
Mn (0.000, 0.500, 0.500) (multiplicity 3)

Output
**Offset from the most stable computed form**: 0.000 eV per formula unit
**Energy relative to the elements**: 1.25 eV/atom



9.
VASP calculation (PBE) on a relaxed YSbPd5 crystal.

Cell: 8.368 9.343 7.179 Å, 90.00 105.32 90.00°
Space group C2/c (No. 15)
Unique sites:
Y (0.000, 0.159, 0.250) (multiplicity 4)
Sb (0.250, 0.250, 0.000) (multiplicity 4)
Pd (0.000, 0.446, 0.250) (multiplicity 4)
Pd (0.112, 0.307, 0.619) (multiplicity 8)
Pd (0.184, 0.020, 0.578) (multiplicity 8)

Output
**Offset from the most stable computed form**: 2.325 eV per formula unit
**E_form (uncorrected)**: -8.17 kcal/mol of atoms



10.
VASP calculation (PBE) on a relaxed LaTaAs2 crystal.

Cell: 4.096 4.096 10.598 Å, 90.00 90.00 90.00°
Space group I-4m2 (No. 119)
Unique sites:
La (0.000, 0.000, 0.000) (multiplicity 2)
Ta (0.000, 0.500, 0.750) (multiplicity 2)
As (0.000, 0.000, 0.500) (multiplicity 2)
As (0.000, 0.500, 0.250) (multiplicity 2)

Output
**Offset from the most stable computed form**: 2.917 eV per formula unit
**Energy relative to the elements**: -0.13 eV/atom



11.
VASP calculation (PBE) on a relaxed CeNdU2P4 crystal.

Cell: 6.938 4.003 7.074 Å, 90.00 109.09 90.00°
Space group P2/m (No. 10)
Unique sites:
Ce (0.000, 0.000, 0.000) (multiplicity 1)
Nd (0.500, 0.500, 0.000) (multiplicity 1)
U (0.000, 0.500, 0.500) (multiplicity 1)
U (0.500, 0.000, 0.500) (multiplicity 1)
P (0.242, 0.000, 0.734) (multiplicity 2)
P (0.252, 0.500, 0.263) (multiplicity 2)

Output
**Energy relative to the elements**: -1.23 eV/atom



12.
VASP calculation (PBE) on a relaxed CeNdAsO2 crystal.

Cell: 3.903 3.903 12.510 Å, 90.00 90.00 90.00°
Space group I4mm (No. 107)
Unique sites:
Ce (0.000, 0.000, 0.000) (multiplicity 2)
Nd (0.000, 0.000, 0.300) (multiplicity 2)
As (0.000, 0.000, 0.647) (multiplicity 2)
O (0.000, 0.500, 0.406) (multiplicity 4)

Output
**E_form (uncorrected)**: -61.65 kcal/mol of atoms



13.
VASP calculation (PBE) on a relaxed LaGa3Sn3 crystal.

Cell: 7.509 7.509 7.509 Å, 90.00 90.00 90.00°
Space group Pm-3n (No. 223)
Unique sites:
La (0.000, 0.000, 0.000) (multiplicity 2)
Ga (0.000, 0.250, 0.500) (multiplicity 6)
Sn (0.000, 0.500, 0.250) (multiplicity 6)

Output
**Energy relative to the elements**: 0.10 eV/atom



14.
VASP calculation (PBE) on a relaxed MoPPd3 crystal.

Cell: 4.770 4.770 4.770 Å, 90.00 90.00 90.00°
Space group Pm-3m (No. 221)
Unique sites:
Mo (0.000, 0.000, 0.000) (multiplicity 1)
P (0.500, 0.500, 0.500) (multiplicity 1)
Pd (0.000, 0.000, 0.500) (multiplicity 3)

Output
**Offset from the most stable computed form**: 5.239 eV per formula unit
**Energy relative to the elements**: 1.42 eV/atom



15.
VASP calculation (PBE) on a relaxed LiMnZn crystal.

Cell: 2.922 3.942 13.125 Å, 90.00 90.00 90.00°
Space group Fmm2 (No. 42)
Unique sites:
Li (0.000, 0.000, 0.000) (multiplicity 4)
Mn (0.000, 0.000, 0.336) (multiplicity 4)
Zn (0.000, 0.000, 0.675) (multiplicity 4)

Output
**Offset from the most stable computed form**: 0.375 eV per formula unit
**Energy relative to the elements**: 0.22 eV/atom



16.
VASP calculation (PBE) on a relaxed Tb5Pu3Bi8 crystal.

Cell: 9.0266 9.0266 22.0839 Å, 90.00 90.00 120.00°
Space group R-3m (No. 166, hexagonal axes)
Unique sites:
Tb (0.0000, 0.0000, 0.0000) (multiplicity 3)
Tb (0.0000, 0.0000, 0.5000) (multiplicity 3)
Tb (0.0000, 0.5000, 0.0000) (multiplicity 9)
Pu (0.0000, 0.5000, 0.5000) (multiplicity 9)
Bi (0.0000, 0.0000, 0.2506) (multiplicity 6)
Bi (0.0007, 0.5003, 0.2503) (multiplicity 18)

Output
**Energy relative to the elements**: -0.67 eV/atom



17.
VASP calculation (PBE) on a relaxed NpPa2Ni crystal.

Cell: 3.0574 3.0574 30.2599 Å, 90.00 90.00 120.00°
Space group R-3m (No. 166, hexagonal axes)
Unique sites:
Np (0.0000, 0.0000, 0.0000) (multiplicity 3)
Pa (0.0000, 0.0000, 0.0936) (multiplicity 6)
Ni (0.0000, 0.0000, 0.5000) (multiplicity 3)

Output
**Energy relative to the elements**: 0.32 eV/atom



18.
VASP calculation (PBE) on a relaxed AcTlZnPd3 crystal.

Cell: 7.082 12.923 5.979 Å, 90.00 90.00 90.00°
Space group Cmcm (No. 63)
Unique sites:
Ac (0.000, 0.194, 0.250) (multiplicity 4)
Tl (0.000, 0.448, 0.250) (multiplicity 4)
Zn (0.000, 0.129, 0.750) (multiplicity 4)
Pd (0.000, 0.326, 0.750) (multiplicity 4)
Pd (0.192, 0.000, 0.000) (multiplicity 8)

Output
**Energy relative to the elements**: -0.37 eV/atom



19.
VASP calculation (PBE) on a relaxed Rb2MgP crystal.

Cell: 13.110 13.110 4.875 Å, 90.00 90.00 90.00°
Space group I-42d (No. 122)
Unique sites:
Rb (0.068, 0.250, 0.125) (multiplicity 8)
Mg (0.000, 0.000, 0.500) (multiplicity 4)
P (0.000, 0.000, 0.000) (multiplicity 4)

Output
**Offset from the most stable computed form**: 0.000 eV per formula unit
**Energy relative to the elements**: -0.15 eV/atom



20.
VASP calculation (PBE) on a relaxed GdCuPb2 crystal.

Cell: 4.711 4.711 4.485 Å, 90.00 90.00 90.00°
Space group P4/mmm (No. 123)
Unique sites:
Gd (0.000, 0.000, 0.000) (multiplicity 1)
Cu (0.500, 0.500, 0.000) (multiplicity 1)
Pb (0.000, 0.500, 0.500) (multiplicity 2)

Output
**Offset from the most stable computed form**: 0.000 eV per formula unit
**Energy relative to the elements**: -0.18 eV/atom



Result set for total magnetization: 0.626, 0.000, 0.201, 1.273, 0.000, 0.000, 0.000, 1.926, 0.000, 0.294, 0.630, 0.034, 0.001, 0.000, 0.004, 0.968, 0.704, 0.000, 0.000, 1.747 μB/atom, one per record in the order listed.
Result set for uncorrected energy: -8.9489, -3.2608, -7.9653, -6.1705, -8.9152, -4.6669, -4.4201, -6.8118, -5.5757, -6.6466, -8.0980, -7.7268, -3.6199, -4.9441, -3.8971, -6.7427, -9.1086, -4.2595, -2.3805, -6.5771 eV/atom, one per record in the order listed.